Computed, not measured: an optimized crystal structure of KBaMo at the PBE level of DFT.

Lattice parameters (Å, degrees): 4.0063 4.0063 16.3314 90.00 90.00 90.00
Space group I4mm (No. 107)
Unique sites:
K1 0.0000 0.0000 0.0000
Ba1 0.0000 0.0000 0.7395
Mo1 0.0000 0.0000 0.3547

Calculated values
Energy above the most stable polymorph in this dataset = 0.0 kJ/mol of atoms
E_tot = -3.322 eV/atom
D(E_F) = 1.04 states/eV/atom
ΔH_f (0 K) = 3.89 eV/f.u.